Na3ZnPd2O6: optimized geometry, PBE-GGA.

Cell lengths 5.5115, 5.5115, 5.5982 Å; angles 99.31, 99.31, 120.36 degrees
Last column: nearest neighbours and their distance in Å.
Sites, in units of the cell vectors:
Na  0.0000  0.0000  0.0000  6 O 2.37-2.43
Na  0.3344  0.6656  0.0000  6 O 2.39-2.43
Na  0.6656  0.3344  0.0000  6 O 2.39-2.43
Zn  0.5000  0.5000  0.5000  6 O 2.16-2.17
Pd  0.1671  0.8329  0.5000  6 O 2.09-2.11
Pd  0.8329  0.1671  0.5000  6 O 2.09-2.11
O  0.0897  0.4309  0.2973  2 Pd 2.09-2.11, 1 Zn 2.17
O  0.2252  0.2252  0.7026  2 Pd 2.11, 1 Zn 2.16
O  0.4309  0.0897  0.2973  2 Pd 2.09-2.11, 1 Zn 2.17
O  0.5691  0.9103  0.7027  2 Pd 2.09-2.11, 1 Zn 2.17
O  0.7748  0.7748  0.2974  2 Pd 2.11, 1 Zn 2.16
O  0.9103  0.5691  0.7027  2 Pd 2.09-2.11, 1 Zn 2.17

## Properties
Crystal system: monoclinic
Space-group type: C2/m (12)
Formation energy (no corrections) (eV per atom): -1.047